CrFe2Si: relaxed, PBE-GGA.

It has space group P2/m (No. 10), with a = 2.5258 Å, b = 3.8537 Å, c = 4.7727 Å, α = 90.00°, β = 103.39° and γ = 90.00°. The distinct sites, in fractional coordinates, are Cr at (0.0000, 0.0000, 0.0000), Fe at (0.2482, 0.5000, 0.7471) and Si at (0.5000, 0.0000, 0.5000).

As for the total magnetization: 2.92 μB/f.u. The value obtained for the mass density is 7.05 g/cm³. The raw formation energy comes out at -0.11 eV/atom.